1.
Computed, not measured: an optimized crystal structure of ScAlCl2O at the GGA-PBE level of DFT. Values from VASP.

Results
- spin magnetization (μB per cell) = 0.90
- ΔE_f (raw) (eV/atom) = -0.893
- V (Å³ per cell) = 105.0

Quantum ESPRESSO input file:
```
&SYSTEM
  ibrav = 0, nat = 5, ntyp = 4
/
ATOMIC_SPECIES
Sc 44.96 Sc.upf
Al 26.98 Al.upf
Cl 35.45 Cl.upf
O 16.00 O.upf
ATOMIC_POSITIONS crystal
Sc 0.000 0.000 0.000
Al 0.500 0.500 0.000
Cl 0.000 0.500 0.500
Cl 0.500 0.000 0.500
O 0.500 0.500 0.500
CELL_PARAMETERS angstrom
5.639 0.000 0.000
0.000 5.639 0.000
0.000 0.000 3.302
```

2.
Computed, not measured: an optimized crystal structure of Al13Si5ClO38 at the GGA-PBE level of DFT. Values from VASP.

Results
- spin magnetization (μB per cell) = 18.00
- ΔE_f (raw) (eV/atom) = -2.095
- V (Å³ per cell) = 683.2

Quantum ESPRESSO input file:
```
&SYSTEM
  ibrav = 0, nat = 57, ntyp = 4
/
ATOMIC_SPECIES
Al 26.98 Al.upf
Si 28.09 Si.upf
Cl 35.45 Cl.upf
O 16.00 O.upf
ATOMIC_POSITIONS crystal
Al 0.000 0.000 0.000
Al 0.349 0.686 0.983
Al 0.349 0.983 0.686
Al 0.349 0.983 0.983
Al 0.686 0.349 0.983
Al 0.686 0.983 0.349
Al 0.686 0.983 0.983
Al 0.983 0.349 0.686
Al 0.983 0.349 0.983
Al 0.983 0.686 0.349
Al 0.983 0.686 0.983
Al 0.983 0.983 0.349
Al 0.983 0.983 0.686
Si 0.099 0.634 0.634
Si 0.500 0.500 0.500
Si 0.634 0.099 0.634
Si 0.634 0.634 0.099
Si 0.634 0.634 0.634
Cl 0.250 0.250 0.250
O 0.030 0.030 0.470
O 0.030 0.470 0.030
O 0.030 0.470 0.470
O 0.030 0.474 0.748
O 0.030 0.748 0.474
O 0.030 0.748 0.748
O 0.195 0.195 0.656
O 0.195 0.195 0.953
O 0.195 0.656 0.195
O 0.195 0.656 0.953
O 0.195 0.953 0.195
O 0.195 0.953 0.656
O 0.226 0.925 0.925
O 0.299 0.567 0.567
O 0.470 0.030 0.030
O 0.470 0.030 0.470
O 0.470 0.470 0.030
O 0.474 0.030 0.748
O 0.474 0.748 0.030
O 0.474 0.748 0.748
O 0.567 0.299 0.567
O 0.567 0.567 0.299
O 0.567 0.567 0.567
O 0.656 0.195 0.195
O 0.656 0.195 0.953
O 0.656 0.953 0.195
O 0.748 0.030 0.474
O 0.748 0.030 0.748
O 0.748 0.474 0.030
O 0.748 0.474 0.748
O 0.748 0.748 0.030
O 0.748 0.748 0.474
O 0.925 0.226 0.925
O 0.925 0.925 0.226
O 0.925 0.925 0.925
O 0.953 0.195 0.195
O 0.953 0.195 0.656
O 0.953 0.656 0.195
CELL_PARAMETERS angstrom
0.000 6.990 6.990
6.990 0.000 6.990
6.990 6.990 0.000
```

3.
Computed, not measured: an optimized crystal structure of AlSnClO2 at the GGA-PBE level of DFT. Values from VASP.

Results
- spin magnetization (μB per cell) = 0.00
- ΔE_f (raw) (eV/atom) = -1.951
- V (Å³ per cell) = 201.7

Quantum ESPRESSO input file:
```
&SYSTEM
  ibrav = 0, nat = 10, ntyp = 4
/
ATOMIC_SPECIES
Al 26.98 Al.upf
Sn 118.71 Sn.upf
Cl 35.45 Cl.upf
O 16.00 O.upf
ATOMIC_POSITIONS crystal
Al 0.148 0.250 0.078
Al 0.852 0.750 0.922
Sn 0.338 0.750 0.820
Sn 0.662 0.250 0.180
Cl 0.238 0.250 0.371
Cl 0.762 0.750 0.629
O 0.114 0.750 0.006
O 0.361 0.250 0.991
O 0.639 0.750 0.009
O 0.886 0.250 0.994
CELL_PARAMETERS angstrom
7.313 0.000 0.000
0.000 3.743 0.000
-2.003 0.000 7.371
```

4.
Computed, not measured: an optimized crystal structure of SrAlClO2 at the GGA-PBE level of DFT. Values from VASP.

Results
- spin magnetization (μB per cell) = 0.00
- ΔE_f (raw) (eV/atom) = -2.675
- V (Å³ per cell) = 193.1

Quantum ESPRESSO input file:
```
&SYSTEM
  ibrav = 0, nat = 10, ntyp = 4
/
ATOMIC_SPECIES
Sr 87.62 Sr.upf
Al 26.98 Al.upf
Cl 35.45 Cl.upf
O 16.00 O.upf
ATOMIC_POSITIONS crystal
Sr 0.224 0.250 0.129
Sr 0.776 0.750 0.871
Al 0.050 0.250 0.640
Al 0.950 0.750 0.360
Cl 0.412 0.250 0.763
Cl 0.588 0.750 0.237
O 0.025 0.750 0.606
O 0.039 0.750 0.161
O 0.961 0.250 0.839
O 0.975 0.250 0.394
CELL_PARAMETERS angstrom
6.721 0.000 0.000
0.000 3.907 0.000
-1.875 0.000 7.354
```